i:
Density functional theory data (PBE) for a relaxed structure of K2MgCd.

abc: 7.0195 7.0195 6.1105
angles: 115.73 115.73 38.21
Last column: nearest neighbours and their distance in Å.
Atoms (fractional coordinates):
K 0.0000 0.0000 0.0000  4 K 3.88-4.18, 4 Cd 3.89-3.90, 4 Mg 3.97-4.07
K 0.2036 0.2036 0.7037  4 K 3.88-4.18, 4 Cd 3.88-4.12, 4 Mg 3.94-3.95
Mg 0.7853 0.7853 0.2859  2 Cd 2.92
Cd 0.4378 0.4378 0.4370  2 Mg 2.92

ii:
Density functional theory data (PBE) for a relaxed structure of K2MgCd.

abc: 3.8308 3.8308 10.8344
angles: 90.00 90.00 90.09
Last column: nearest neighbours and their distance in Å.
Atoms (fractional coordinates):
K 0.0000 0.0000 0.2410  4 Cd 3.76, 4 K 3.83, 4 Mg 3.90
K 0.0000 0.0000 0.7590  4 Cd 3.76, 4 K 3.83, 4 Mg 3.90
Mg 0.5000 0.5000 0.5000  4 Mg 3.83, 8 K 3.90
Cd 0.5000 0.5000 0.0000  8 K 3.76, 4 Cd 3.83

Energetically preferred structure: i | next structure: +69 meV per atom

i:
Density functional theory data (PBE) for a relaxed structure of K2MgCd.

abc: 6.1619 6.1619 6.1619
angles: 60.00 60.00 60.00
Last column: nearest neighbours and their distance in Å.
Atoms (fractional coordinates):
K 0.2500 0.2500 0.2500  4 Cd 3.77, 4 Mg 3.77
K 0.7500 0.7500 0.7500  4 Cd 3.77, 4 Mg 3.77
Mg 0.0000 0.0000 0.0000  8 K 3.77
Cd 0.5000 0.5000 0.5000  8 K 3.77

ii:
Density functional theory data (PBE) for a relaxed structure of K2MgCd.

abc: 4.9561 5.2621 7.1086
angles: 90.00 110.30 90.00
Last column: nearest neighbours and their distance in Å.
Atoms (fractional coordinates):
K 0.0000 0.0000 0.0000  3 Cd 3.70-3.92, 4 Mg 3.87
K 0.3056 0.5000 0.6143  3 Mg 3.67-3.95, 4 Cd 3.86
Mg 0.6035 0.5000 0.2069  2 Cd 2.97
Cd 0.7050 0.0000 0.4121  2 Mg 2.97

iii:
Density functional theory data (PBE) for a relaxed structure of K2MgCd.

abc: 5.9009 5.9009 5.9009
angles: 118.86 118.86 91.98
Last column: nearest neighbours and their distance in Å.
Atoms (fractional coordinates):
K 0.0000 0.0000 0.0000  4 K 3.63, 4 Mg 3.63
K 0.7500 0.2500 0.5000  4 Cd 3.63, 4 K 3.63
Mg 0.2500 0.7500 0.5000  4 Cd 3.63, 4 K 3.63
Cd 0.5000 0.5000 0.0000  4 K 3.63, 4 Mg 3.63

iv:
Density functional theory data (PBE) for a relaxed structure of K2MgCd.

abc: 5.5789 5.5789 5.1676
angles: 90.00 90.00 90.00
Last column: nearest neighbours and their distance in Å.
Atoms (fractional coordinates):
K 0.0000 0.5000 0.0000  4 Cd 3.80, 4 Mg 3.80, 4 K 3.94
K 0.5000 0.0000 0.0000  4 Cd 3.80, 4 Mg 3.80, 4 K 3.94
Mg 0.0000 0.0000 0.5000  8 K 3.80, 4 Cd 3.94
Cd 0.5000 0.5000 0.5000  8 K 3.80, 4 Mg 3.94

Energetically preferred structure: ii | next structure: +52 meV per atom

i:
Density functional theory data (PBE) for a relaxed structure of K2MgCd.

abc: 6.5723 6.5723 6.5723
angles: 130.59 130.59 72.47
Last column: nearest neighbours and their distance in Å.
Atoms (fractional coordinates):
K 0.2500 0.7500 0.5000  4 Cd 3.82, 4 Mg 3.82, 4 K 3.88
K 0.7500 0.2500 0.5000  4 Cd 3.82, 4 Mg 3.82, 4 K 3.88
Mg 0.0000 0.0000 0.0000  8 K 3.82, 4 Cd 3.88
Cd 0.5000 0.5000 0.0000  8 K 3.82, 4 Mg 3.88

ii:
Density functional theory data (PBE) for a relaxed structure of K2MgCd.

abc: 7.8307 7.8307 7.8307
angles: 100.87 100.87 128.52
Last column: nearest neighbours and their distance in Å.
Atoms (fractional coordinates):
K 0.1040 0.6250 0.9790  2 K 3.43, 2 Cd 3.49, 2 Mg 3.78
K 0.3750 0.3540 0.4790  2 K 3.43, 2 Cd 3.49, 2 Mg 3.78
K 0.6460 0.1250 0.0210  2 K 3.43, 2 Cd 3.49, 2 Mg 3.78
K 0.8750 0.8960 0.5210  2 K 3.43, 2 Cd 3.49, 2 Mg 3.78
Mg 0.2500 0.7500 0.5000  2 Cd 3.40, 4 K 3.78
Mg 0.5000 0.5000 0.0000  2 Cd 3.40, 4 K 3.78
Cd 0.0000 0.0000 0.0000  2 Mg 3.40, 4 K 3.49
Cd 0.7500 0.2500 0.5000  2 Mg 3.40, 4 K 3.49

iii:
Density functional theory data (PBE) for a relaxed structure of K2MgCd.

abc: 3.9745 3.9745 10.3473
angles: 90.00 90.00 90.00
Last column: nearest neighbours and their distance in Å.
Atoms (fractional coordinates):
K 0.0000 0.0000 0.0000  1 Mg 3.72, 4 Cd 3.77, 4 K 3.97
K 0.5000 0.5000 0.3796  4 Mg 3.90, 1 Cd 3.90, 4 K 3.97
Mg 0.0000 0.0000 0.6402  4 Cd 3.06
Cd 0.5000 0.5000 0.7568  4 Mg 3.06

iv:
Density functional theory data (PBE) for a relaxed structure of K2MgCd.

abc: 12.9095 12.9095 12.9095
angles: 17.08 17.08 17.08
Last column: nearest neighbours and their distance in Å.
Atoms (fractional coordinates):
K 0.2480 0.2480 0.2480  3 Cd 3.81, 6 K 3.83, 3 Mg 3.94
K 0.7520 0.7520 0.7520  3 Cd 3.81, 6 K 3.83, 3 Mg 3.94
Mg 0.0000 0.0000 0.0000  6 Mg 3.83, 6 K 3.94
Cd 0.5000 0.5000 0.5000  6 K 3.81, 6 Cd 3.83

Energetically preferred structure: iii | next structure: +95 meV per atom

i:
Density functional theory data (PBE) for a relaxed structure of KMgCd3.

abc: 6.3807 6.3807 6.3807
angles: 90.00 90.00 90.00
Last column: nearest neighbours and their distance in Å.
Atoms (fractional coordinates):
K 0.0000 0.0000 0.0000  6 Cd 3.19
Mg 0.5000 0.5000 0.5000  12 Cd 4.51
Cd 0.0000 0.0000 0.5000  2 K 3.19
Cd 0.0000 0.5000 0.0000  2 K 3.19
Cd 0.5000 0.0000 0.0000  2 K 3.19

ii:
Density functional theory data (PBE) for a relaxed structure of KMgCd3.

abc: 7.8142 7.8142 5.8155
angles: 90.00 90.00 126.46
Last column: nearest neighbours and their distance in Å.
Atoms (fractional coordinates):
K 0.0975 0.9025 0.7500  8 Cd 3.62-3.74, 2 K 3.98, 4 Mg 4.04
K 0.9025 0.0975 0.2500  8 Cd 3.62-3.74, 2 K 3.98, 4 Mg 4.04
Mg 0.5000 0.5000 0.0000  2 Mg 2.91, 6 Cd 3.00-3.07
Mg 0.5000 0.5000 0.5000  2 Mg 2.91, 6 Cd 3.00-3.07
Cd 0.1214 0.4388 0.7500  2 Cd 2.91-3.10, 2 Mg 3.07
Cd 0.3117 0.6883 0.2500  2 Cd 2.91, 2 Mg 3.00
Cd 0.4388 0.1214 0.2500  2 Cd 2.91-3.10, 2 Mg 3.07
Cd 0.5612 0.8786 0.7500  2 Cd 2.91-3.10, 2 Mg 3.07
Cd 0.6883 0.3117 0.7500  2 Cd 2.91, 2 Mg 3.00
Cd 0.8786 0.5612 0.2500  2 Cd 2.91-3.10, 2 Mg 3.07

iii:
Density functional theory data (PBE) for a relaxed structure of KMgCd3.

abc: 7.3371 7.3371 13.6165
angles: 90.00 90.00 120.00
Last column: nearest neighbours and their distance in Å.
Atoms (fractional coordinates):
K 0.0000 0.0000 0.0000  12 Cd 3.67-3.81
K 0.0000 0.0000 0.5000  12 Cd 3.67-3.81
K 0.3333 0.6667 0.2500  12 Cd 3.69-4.01
K 0.6667 0.3333 0.7500  12 Cd 3.69-4.01
Mg 0.3333 0.6667 0.6418  6 Cd 2.87-2.93, 1 Mg 2.95
Mg 0.3333 0.6667 0.8582  6 Cd 2.87-2.93, 1 Mg 2.95
Mg 0.6667 0.3333 0.1418  6 Cd 2.87-2.93, 1 Mg 2.95
Mg 0.6667 0.3333 0.3582  6 Cd 2.87-2.93, 1 Mg 2.95
Cd 0.0000 0.5000 0.0000  2 Mg 2.87
Cd 0.0000 0.5000 0.5000  2 Mg 2.87
Cd 0.1342 0.2684 0.7500  2 Mg 2.93, 2 Cd 2.95
Cd 0.1342 0.8658 0.7500  2 Mg 2.93, 2 Cd 2.95
Cd 0.2684 0.1342 0.2500  2 Mg 2.93, 2 Cd 2.95
Cd 0.5000 0.0000 0.0000  2 Mg 2.87
Cd 0.5000 0.0000 0.5000  2 Mg 2.87
Cd 0.5000 0.5000 0.0000  2 Mg 2.87
Cd 0.5000 0.5000 0.5000  2 Mg 2.87
Cd 0.7316 0.8658 0.7500  2 Mg 2.93, 2 Cd 2.95
Cd 0.8658 0.1342 0.2500  2 Mg 2.93, 2 Cd 2.95
Cd 0.8658 0.7316 0.2500  2 Mg 2.93, 2 Cd 2.95

Energetically preferred structure: ii | next structure: +88 meV per atom